Run a
First-principles (PBE) data for an optimized crystal structure of MnCrSbTe2, as listed in Alexandria via LeMat-Bulk.

a = 5.293 Å, b = 5.293 Å, c = 5.049 Å
α = 90.00°, β = 90.00°, γ = 90.00°
Space group P4/mmm (No. 123)
Unique sites:
Mn 0.000 0.000 0.000 x1
Cr 0.500 0.500 0.500 x1
Sb 0.500 0.500 0.000 x1
Te 0.000 0.500 0.500 x2

Run b
First-principles (PBE) data for an optimized crystal structure of MnCrSbTe2, as listed in Alexandria via LeMat-Bulk.

a = 5.176 Å, b = 5.176 Å, c = 4.965 Å
α = 90.00°, β = 90.00°, γ = 90.00°
Space group P4/mmm (No. 123)
Unique sites:
Mn 0.000 0.000 0.000 x1
Cr 0.500 0.500 0.500 x1
Sb 0.000 0.000 0.500 x1
Te 0.000 0.500 0.000 x2

Name the least stable of them. run b.

Run a
First-principles (PBE) data for an optimized crystal structure of ScMn2Cr2, as listed in Alexandria via LeMat-Bulk.

a = 7.185 Å, b = 7.185 Å, c = 2.761 Å
α = 90.00°, β = 90.00°, γ = 90.00°
Space group P4/mbm (No. 127)
Unique sites:
Sc 0.000 0.000 0.000 x2
Mn 0.142 0.358 0.000 x4
Cr 0.149 0.649 0.500 x4

Run b
First-principles (PBE) data for an optimized crystal structure of ScMn2Cr2, as listed in Alexandria via LeMat-Bulk.

a = 3.919 Å, b = 3.919 Å, c = 9.191 Å
α = 90.00°, β = 90.00°, γ = 90.00°
Space group I4/mmm (No. 139)
Unique sites:
Sc 0.000 0.000 0.000 x2
Mn 0.000 0.000 0.378 x4
Cr 0.000 0.500 0.250 x4

Name the least stable of them. run a.

Run a
First-principles (PBE) data for an optimized crystal structure of MnCrSe2, as listed in Alexandria via LeMat-Bulk.

a = 5.424 Å, b = 5.424 Å, c = 10.533 Å
α = 90.00°, β = 90.00°, γ = 90.00°
Space group I-42d (No. 122)
Unique sites:
Mn 0.000 0.000 0.000 x4
Cr 0.000 0.000 0.500 x4
Se 0.242 0.250 0.125 x8

Run b
First-principles (PBE) data for an optimized crystal structure of MnCrSe2, as listed in Alexandria via LeMat-Bulk.

a = 6.006 Å, b = 6.006 Å, c = 6.006 Å
α = 90.00°, β = 90.00°, γ = 90.00°
Space group Fm-3m (No. 225)
Unique sites:
Mn 0.000 0.000 0.000 x4
Cr 0.000 0.000 0.500 x4
Se 0.250 0.250 0.250 x8

Name the least stable of them. run b.

Run a
First-principles (PBE) data for an optimized crystal structure of MnCr2Se2, as listed in Alexandria via LeMat-Bulk.

a = 3.329 Å, b = 3.329 Å, c = 13.719 Å
α = 90.00°, β = 90.00°, γ = 90.00°
Space group I4/mmm (No. 139)
Unique sites:
Mn 0.000 0.000 0.000 x2
Cr 0.000 0.500 0.250 x4
Se 0.000 0.000 0.389 x4

Run b
First-principles (PBE) data for an optimized crystal structure of MnCr2Se2, as listed in Alexandria via LeMat-Bulk.

a = 6.919 Å, b = 6.919 Å, c = 3.310 Å
α = 90.00°, β = 90.00°, γ = 90.00°
Space group P4/mbm (No. 127)
Unique sites:
Mn 0.000 0.000 0.000 x2
Cr 0.146 0.354 0.500 x4
Se 0.157 0.657 0.000 x4

Name the least stable of them. run a.